## NdBeFe (PBE-GGA)

Data for crystalline NdBeFe at its relaxed geometry.

```
NdBeFe
1.0
4.138 0.000 0.000
0.000 4.138 0.000
0.000 0.000 6.052
Nd Be Fe
2 2 2
direct
0.250 0.250 0.178
0.750 0.750 0.822
0.250 0.250 0.636
0.750 0.750 0.364
0.250 0.750 0.500
0.750 0.250 0.500
```

## Properties
Symmetry   P4/nmm
ΔE_f   0.0208 eV/atom
Fermi-level density of states   1.011 states/eV/atom